Record 1
The following is a PBE calculation of an optimized crystal structure of Mg2CrSe, from Alexandria via LeMat-Bulk.

Cell and atoms, written as POSCAR:
```
Mg2CrSe
1.0
7.9264 0.0000 0.0000
0.0000 7.9264 0.0000
3.9632 3.9632 2.8003
Cr Mg Se
2 4 2
direct
0.5000 0.5000 0.0000
0.2500 0.7500 0.5000
0.6701 0.1250 0.2500
0.0799 0.6250 0.2500
0.3750 0.3299 0.7500
0.8750 0.9201 0.7500
0.0000 0.0000 0.0000
0.7500 0.2500 0.5000
```

Output
DOS at the Fermi energy in states/eV per atom: 0.14
Theoretical density in Mg/m³: 3.39
Calculated volume in Å³ per cell: 176
ΔE_f (raw) in eV per atom: 0.043
Raw total energy in eV/atom: -4.031


Record 2
The following is a PBE calculation of an optimized crystal structure of Mg2CrSe, from Alexandria via LeMat-Bulk.

Cell and atoms, written as POSCAR:
```
Mg2CrSe
1.0
-0.4933 -0.5244 4.6808
-4.3719 -0.7113 -1.6760
0.6945 -3.5137 -0.3205
Cr Mg Se
1 2 1
direct
0.0000 0.5000 0.5000
0.0000 0.0000 0.0000
0.5000 0.5000 0.0000
0.5000 0.0000 0.5000
```

Output
DOS at the Fermi energy in states/eV per atom: 0.36
Theoretical density in Mg/m³: 3.81
Calculated volume in Å³ per cell: 78
ΔE_f (raw) in eV per atom: -0.024
Raw total energy in eV/atom: -4.098


Record 3
The following is a PBE calculation of an optimized crystal structure of Mg2CrSe, from Alexandria via LeMat-Bulk.

Cell and atoms, written as POSCAR:
```
Mg2CrSe
1.0
-2.0691 1.7883 -2.5513
-0.3979 -3.8587 -2.3820
-3.7711 -1.0463 2.3249
Cr Mg Se
1 2 1
direct
0.5000 0.0000 0.5000
0.0000 0.0000 0.0000
0.0000 0.5000 0.5000
0.5000 0.5000 0.0000
```

Output
DOS at the Fermi energy in states/eV per atom: 0.52
Theoretical density in Mg/m³: 3.85
Calculated volume in Å³ per cell: 77
ΔE_f (raw) in eV per atom: -0.007
Raw total energy in eV/atom: -4.081


Record 4
The following is a PBE calculation of an optimized crystal structure of MgCr2Se, from Alexandria via LeMat-Bulk.

Cell and atoms, written as POSCAR:
```
MgCr2Se
1.0
4.5514 0.0723 -0.1063
3.3373 3.0956 -0.1063
1.1019 0.4425 5.1635
Cr Mg Se
2 1 1
direct
0.0065 0.0065 0.9644
0.7286 0.7286 0.8406
0.5028 0.5028 0.5024
0.2620 0.2620 0.1927
```

Output
DOS at the Fermi energy in states/eV per atom: 0.50
Theoretical density in Mg/m³: 4.79
Relative energy among the computed polymorphs in eV per atom: 0.072
Calculated volume in Å³ per cell: 72
ΔE_f (raw) in eV per atom: 0.172
Raw total energy in eV/atom: -5.909


Record 5
The following is a PBE calculation of an optimized crystal structure of Mg2CrSe, from Alexandria via LeMat-Bulk.

Cell and atoms, written as POSCAR:
```
Mg2CrSe
1.0
3.5581 0.3561 0.0000
-0.3546 3.5583 0.0000
0.0000 0.0000 5.9512
Cr Mg Se
1 2 1
direct
0.5000 0.5000 0.7500
0.0000 0.0000 0.9967
0.0000 0.0000 0.5033
0.5000 0.5000 0.2500
```

Output
DOS at the Fermi energy in states/eV per atom: 0.37
Theoretical density in Mg/m³: 3.92
Calculated volume in Å³ per cell: 76
ΔE_f (raw) in eV per atom: -0.067
Raw total energy in eV/atom: -4.142


Record 6
The following is a PBE calculation of an optimized crystal structure of MgCrSe2, from Alexandria via LeMat-Bulk.

Cell and atoms, written as POSCAR:
```
MgCrSe2
1.0
-3.5207 1.0311 -0.0017
-1.4125 -4.8329 -5.9448
-0.7756 -2.6446 2.3343
Cr Mg Se
1 1 2
direct
0.5000 0.0000 0.5000
0.0000 0.5000 0.5000
0.0000 0.0000 0.0000
0.5000 0.5000 0.0000
```

Output
DOS at the Fermi energy in states/eV per atom: 0.46
Theoretical density in Mg/m³: 3.77
Calculated volume in Å³ per cell: 103
ΔE_f (raw) in eV per atom: -0.429
Raw total energy in eV/atom: -4.976


Record 7
The following is a PBE calculation of an optimized crystal structure of MgCrSe2, from Alexandria via LeMat-Bulk.

Cell and atoms, written as POSCAR:
```
MgCrSe2
1.0
4.7387 0.0008 0.0000
-0.0012 4.7387 0.0000
0.0000 0.0000 3.3536
Cr Mg Se
1 1 2
direct
0.5000 0.0000 0.5000
0.0000 0.5000 0.5000
0.0000 0.0000 0.0000
0.5000 0.5000 0.0000
```

Output
DOS at the Fermi energy in states/eV per atom: 0.31
Theoretical density in Mg/m³: 5.16
Calculated volume in Å³ per cell: 75
ΔE_f (raw) in eV per atom: -0.334
Raw total energy in eV/atom: -4.880


Record 8
The following is a PBE calculation of an optimized crystal structure of MgCrSe2, from Alexandria via LeMat-Bulk.

Cell and atoms, written as POSCAR:
```
MgCrSe2
1.0
-0.3258 -3.5923 -3.1912
-2.8189 -3.7939 0.9245
-4.0685 -0.6421 -2.4960
Cr Mg Se
1 1 2
direct
0.5000 0.5000 0.5000
0.2500 0.2500 0.2500
0.0000 0.0000 0.0000
0.7500 0.7500 0.7500
```

Output
DOS at the Fermi energy in states/eV per atom: 0.64
Theoretical density in Mg/m³: 4.92
Calculated volume in Å³ per cell: 79
ΔE_f (raw) in eV per atom: 0.204
Raw total energy in eV/atom: -4.343


Record 9
The following is a PBE calculation of an optimized crystal structure of Mg2CrSe, from Alexandria via LeMat-Bulk.

Cell and atoms, written as POSCAR:
```
Mg2CrSe
1.0
8.1144 -0.3798 -0.2241
7.4608 3.2131 -0.2241
7.4608 1.3572 2.9210
Cr Mg Se
1 2 1
direct
0.7500 0.7500 0.7500
0.9873 0.9873 0.9873
0.5127 0.5127 0.5127
0.2500 0.2500 0.2500
```

Output
DOS at the Fermi energy in states/eV per atom: 0.70
Theoretical density in Mg/m³: 3.29
Calculated volume in Å³ per cell: 91
ΔE_f (raw) in eV per atom: 0.017
Raw total energy in eV/atom: -4.058


Record 10
The following is a PBE calculation of an optimized crystal structure of MgCr2Se, from Alexandria via LeMat-Bulk.

Cell and atoms, written as POSCAR:
```
MgCr2Se
1.0
-2.8764 1.1104 3.5964
-0.5724 -4.6752 -0.5054
2.4514 -0.5298 2.1242
Cr Mg Se
2 1 1
direct
0.0000 0.0000 0.0000
0.5000 0.5000 0.0000
0.5000 0.0000 0.5000
0.0000 0.5000 0.5000
```

Output
DOS at the Fermi energy in states/eV per atom: 0.56
Theoretical density in Mg/m³: 4.81
Relative energy among the computed polymorphs in eV per atom: 0.279
Calculated volume in Å³ per cell: 72
ΔE_f (raw) in eV per atom: 0.379
Raw total energy in eV/atom: -5.702


Record 11
The following is a PBE calculation of an optimized crystal structure of MgCr2Se, from Alexandria via LeMat-Bulk.

Cell and atoms, written as POSCAR:
```
MgCr2Se
1.0
3.3870 0.6695 0.0000
-0.6696 3.3870 0.0000
0.0000 0.0000 6.0070
Cr Mg Se
2 1 1
direct
0.0000 0.0000 0.9896
0.0000 0.0000 0.5104
0.5000 0.5000 0.2500
0.5000 0.5000 0.7500
```

Output
DOS at the Fermi energy in states/eV per atom: 0.99
Theoretical density in Mg/m³: 4.81
Relative energy among the computed polymorphs in eV per atom: 0.188
Calculated volume in Å³ per cell: 72
ΔE_f (raw) in eV per atom: 0.289
Raw total energy in eV/atom: -5.793


Record 12
The following is a PBE calculation of an optimized crystal structure of MgCr2Se, from Alexandria via LeMat-Bulk.

Cell and atoms, written as POSCAR:
```
MgCr2Se
1.0
5.6563 0.1438 -0.1242
2.8144 4.9086 0.1242
-3.7944 -3.2655 2.6399
Cr Mg Se
2 1 1
direct
0.0338 0.0338 0.0000
0.7604 0.2604 0.5000
0.4786 0.4786 0.0000
0.2272 0.7272 0.5000
```

Output
DOS at the Fermi energy in states/eV per atom: 0.43
Theoretical density in Mg/m³: 4.70
Relative energy among the computed polymorphs in eV per atom: 0.193
Calculated volume in Å³ per cell: 73
ΔE_f (raw) in eV per atom: 0.294
Raw total energy in eV/atom: -5.787


Record 13
The following is a PBE calculation of an optimized crystal structure of MgCrSe2, from Alexandria via LeMat-Bulk.

Cell and atoms, written as POSCAR:
```
MgCrSe2
1.0
-1.8243 2.6044 2.1620
-2.0109 -2.8095 1.6878
3.8181 -0.4625 3.7789
Cr Mg Se
1 1 2
direct
0.0000 0.0000 0.3750
0.5000 0.5000 0.8752
0.0000 0.0000 0.8748
0.5000 0.5000 0.3750
```

Output
DOS at the Fermi energy in states/eV per atom: 0.19
Theoretical density in Mg/m³: 4.88
Calculated volume in Å³ per cell: 80
ΔE_f (raw) in eV per atom: -0.765
Raw total energy in eV/atom: -5.312


Record 14
The following is a PBE calculation of an optimized crystal structure of MgCr2Se, from Alexandria via LeMat-Bulk.

Cell and atoms, written as POSCAR:
```
MgCr2Se
1.0
-3.0335 1.7769 2.2940
-1.1304 -3.7802 1.4334
3.7299 -0.0925 8.8445
Cr Mg Se
4 2 2
direct
0.6474 0.1250 0.2500
0.1026 0.6250 0.2500
0.3750 0.3526 0.7500
0.8750 0.8974 0.7500
0.5000 0.5000 0.0000
0.2500 0.7500 0.5000
0.0000 0.0000 0.0000
0.7500 0.2500 0.5000
```

Output
DOS at the Fermi energy in states/eV per atom: 0.95
Theoretical density in Mg/m³: 4.28
Relative energy among the computed polymorphs in eV per atom: 0.421
Calculated volume in Å³ per cell: 161
ΔE_f (raw) in eV per atom: 0.522
Raw total energy in eV/atom: -5.560